Compound: Ba2Li3NpS6
Source: Alexandria
Functional: PBE
Structure: optimized geometry

Cell and atoms, written as CIF:
```
data_Ba2Li3NpS6
_cell_length_a 4.5612
_cell_length_b 4.5612
_cell_length_c 14.2615
_cell_angle_alpha 90.00
_cell_angle_beta 90.00
_cell_angle_gamma 90.00
_space_group_name_H-M_alt 'P 1'
_space_group_IT_number 1
loop_
_space_group_symop_operation_xyz
'x,y,z'
loop_
_atom_site_label
_atom_site_type_symbol
_atom_site_fract_x
_atom_site_fract_y
_atom_site_fract_z
Ba1 Ba 0.5000 0.5000 0.2148
Ba2 Ba 0.5000 0.5000 0.7852
Li1 Li 0.0000 0.0000 0.3336
Li2 Li 0.0000 0.0000 0.6664
Li3 Li 0.0000 0.0000 0.0000
Np1 Np 0.5000 0.5000 0.5000
S1 S 0.0000 0.5000 0.6123
S2 S 0.5000 0.0000 0.3877
S3 S 0.5000 0.0000 0.6123
S4 S 0.0000 0.0000 0.1584
S5 S 0.0000 0.5000 0.3877
S6 S 0.0000 0.0000 0.8416
```

Calculated values
uncorrected formation energy	-135.3	kJ per mole of atoms
N(E_F)	9.428	states/eV/cell
total energy	-64.12	eV for the cell shown


Compound: Ce3ZnCo2
Source: Alexandria
Functional: PBE
Structure: optimized geometry

Cell and atoms, written as CIF:
```
data_Ce3ZnCo2
_cell_length_a 4.3807
_cell_length_b 7.7378
_cell_length_c 7.5402
_cell_angle_alpha 98.73
_cell_angle_beta 106.89
_cell_angle_gamma 90.00
_space_group_name_H-M_alt 'P 1'
_space_group_IT_number 1
loop_
_space_group_symop_operation_xyz
'x,y,z'
loop_
_atom_site_label
_atom_site_type_symbol
_atom_site_fract_x
_atom_site_fract_y
_atom_site_fract_z
Ce1 Ce 0.2093 0.1726 0.4186
Ce2 Ce 0.1003 0.6880 0.2005
Ce3 Ce 0.4167 0.6114 0.8334
Ce4 Ce 0.7907 0.8274 0.5814
Ce5 Ce 0.5833 0.3886 0.1666
Ce6 Ce 0.8997 0.3120 0.7995
Zn1 Zn 0.4197 0.0374 0.8394
Zn2 Zn 0.5803 0.9626 0.1606
Co1 Co 0.2314 0.5672 0.4629
Co2 Co 0.7686 0.4328 0.5371
Co3 Co 0.9600 0.8525 0.9200
Co4 Co 0.0400 0.1475 0.0800
```

Calculated values
calculated formation energy	-190	meV per atom
N(E_F)	19.803	states/eV/cell
total energy	-68.85	eV for the cell shown


Compound: SnPb3O
Source: Alexandria
Functional: PBE
Structure: optimized geometry

Cell and atoms, written as CIF:
```
data_SnPb3O
_cell_length_a 5.8388
_cell_length_b 5.8388
_cell_length_c 5.8388
_cell_angle_alpha 90.00
_cell_angle_beta 90.00
_cell_angle_gamma 90.00
_space_group_name_H-M_alt 'P 1'
_space_group_IT_number 1
loop_
_space_group_symop_operation_xyz
'x,y,z'
loop_
_atom_site_label
_atom_site_type_symbol
_atom_site_fract_x
_atom_site_fract_y
_atom_site_fract_z
Pb1 Pb 0.0000 0.5000 0.0000
Pb2 Pb 0.0000 0.0000 0.5000
Pb3 Pb 0.5000 0.0000 0.0000
Sn1 Sn 0.0000 0.0000 0.0000
O1 O 0.5000 0.5000 0.5000
```

Calculated values
offset from the most stable computed form	1213	meV per atom
uncorrected formation energy	88.7	kJ per mole of atoms
N(E_F)	11.109	states/eV/cell
total energy	-15.49	eV for the cell shown


Compound: YHo4Hg
Source: Alexandria
Functional: PBE
Structure: optimized geometry

Cell and atoms, written as CIF:
```
data_YHo4Hg
_cell_length_a 6.3323
_cell_length_b 8.9579
_cell_length_c 8.1665
_cell_angle_alpha 113.19
_cell_angle_beta 99.73
_cell_angle_gamma 113.51
_space_group_name_H-M_alt 'P 1'
_space_group_IT_number 1
loop_
_space_group_symop_operation_xyz
'x,y,z'
loop_
_atom_site_label
_atom_site_type_symbol
_atom_site_fract_x
_atom_site_fract_y
_atom_site_fract_z
Y1 Y 0.3415 0.5915 0.1831
Y2 Y 0.6585 0.4085 0.8169
Ho1 Ho 0.0371 0.1597 0.7557
Ho2 Ho 0.7562 0.7131 0.6232
Ho3 Ho 0.2186 0.5960 0.7557
Ho4 Ho 0.3670 0.9101 0.6232
Ho5 Ho 0.6330 0.0899 0.3768
Ho6 Ho 0.7814 0.4040 0.2443
Ho7 Ho 0.2438 0.2869 0.3768
Ho8 Ho 0.9629 0.8403 0.2443
Hg1 Hg 0.2507 0.0007 0.0013
Hg2 Hg 0.7493 0.9993 0.9987
```

Calculated values
offset from the most stable computed form	95	meV per atom
calculated formation energy	-46	meV per atom
N(E_F)	16.305	states/eV/cell
total energy	-50.70	eV for the cell shown


Compound: CaNdAlO4
Source: Alexandria
Functional: PBE
Structure: optimized geometry

Cell and atoms, written as CIF:
```
data_CaNdAlO4
_cell_length_a 6.6527
_cell_length_b 6.6527
_cell_length_c 6.6527
_cell_angle_alpha 147.63
_cell_angle_beta 147.63
_cell_angle_gamma 46.44
_space_group_name_H-M_alt 'P 1'
_space_group_IT_number 1
loop_
_space_group_symop_operation_xyz
'x,y,z'
loop_
_atom_site_label
_atom_site_type_symbol
_atom_site_fract_x
_atom_site_fract_y
_atom_site_fract_z
Ca1 Ca 0.6428 0.6428 0.0000
Nd1 Nd 0.3577 0.3577 0.0000
Al1 Al 0.0090 0.0090 0.0000
O1 O 0.8313 0.8313 0.0000
O2 O 0.1656 0.1656 0.0000
O3 O 0.4968 0.9968 0.5000
O4 O 0.9968 0.4968 0.5000
```

Calculated values
uncorrected formation energy	-305.0	kJ per mole of atoms
N(E_F)	0.000	states/eV/cell
total energy	-52.47	eV for the cell shown


Compound: HfMn2Si
Source: Alexandria
Functional: PBE
Structure: optimized geometry

Cell and atoms, written as CIF:
```
data_HfMn2Si
_cell_length_a 6.9751
_cell_length_b 6.9751
_cell_length_c 5.5958
_cell_angle_alpha 51.45
_cell_angle_beta 51.45
_cell_angle_gamma 90.00
_space_group_name_H-M_alt 'P 1'
_space_group_IT_number 1
loop_
_space_group_symop_operation_xyz
'x,y,z'
loop_
_atom_site_label
_atom_site_type_symbol
_atom_site_fract_x
_atom_site_fract_y
_atom_site_fract_z
Si1 Si 0.5000 0.5000 0.0000
Si2 Si 0.2500 0.7500 0.5000
Mn1 Mn 0.5778 0.1250 0.2500
Mn2 Mn 0.1722 0.6250 0.2500
Mn3 Mn 0.3750 0.4222 0.7500
Mn4 Mn 0.8750 0.8278 0.7500
Hf1 Hf 0.0000 0.0000 0.0000
Hf2 Hf 0.7500 0.2500 0.5000
```

Calculated values
uncorrected formation energy	19.5	kJ per mole of atoms
N(E_F)	9.175	states/eV/cell
total energy	-65.81	eV for the cell shown


Compound: Si3NiC
Source: Alexandria
Functional: PBE
Structure: optimized geometry

Cell and atoms, written as CIF:
```
data_Si3NiC
_cell_length_a 4.2658
_cell_length_b 4.2658
_cell_length_c 4.2658
_cell_angle_alpha 90.00
_cell_angle_beta 90.00
_cell_angle_gamma 90.00
_space_group_name_H-M_alt 'P 1'
_space_group_IT_number 1
loop_
_space_group_symop_operation_xyz
'x,y,z'
loop_
_atom_site_label
_atom_site_type_symbol
_atom_site_fract_x
_atom_site_fract_y
_atom_site_fract_z
Ni1 Ni 0.0000 0.0000 0.0000
Si1 Si 0.0000 0.5000 0.0000
Si2 Si 0.0000 0.0000 0.5000
Si3 Si 0.5000 0.0000 0.0000
C1 C 0.5000 0.5000 0.5000
```

Calculated values
offset from the most stable computed form	641	meV per atom
uncorrected formation energy	138.3	kJ per mole of atoms
N(E_F)	1.415	states/eV/cell
total energy	-24.11	eV for the cell shown


Compound: TiAl2Pd8
Source: Alexandria
Functional: PBE
Structure: optimized geometry

Cell and atoms, written as CIF:
```
data_TiAl2Pd8
_cell_length_a 4.0998
_cell_length_b 6.3342
_cell_length_c 7.1392
_cell_angle_alpha 109.99
_cell_angle_beta 106.69
_cell_angle_gamma 90.00
_space_group_name_H-M_alt 'P 1'
_space_group_IT_number 1
loop_
_space_group_symop_operation_xyz
'x,y,z'
loop_
_atom_site_label
_atom_site_type_symbol
_atom_site_fract_x
_atom_site_fract_y
_atom_site_fract_z
Ti1 Ti 0.5000 0.0000 0.0000
Al1 Al 0.7846 0.3448 0.5691
Al2 Al 0.2154 0.6552 0.4309
Pd1 Pd 0.3925 0.5382 0.7850
Pd2 Pd 0.6767 0.9304 0.3533
Pd3 Pd 0.8483 0.7903 0.6966
Pd4 Pd 0.9608 0.2687 0.9216
Pd5 Pd 0.1517 0.2097 0.3034
Pd6 Pd 0.3233 0.0696 0.6467
Pd7 Pd 0.6075 0.4618 0.2150
Pd8 Pd 0.0392 0.7313 0.0784
```

Calculated values
offset from the most stable computed form	17	meV per atom
calculated formation energy	-633	meV per atom
N(E_F)	5.862	states/eV/cell
total energy	-63.88	eV for the cell shown


Compound: YScWAu2
Source: Alexandria
Functional: PBE
Structure: optimized geometry

Cell and atoms, written as CIF:
```
data_YScWAu2
_cell_length_a 5.1590
_cell_length_b 4.7361
_cell_length_c 5.1590
_cell_angle_alpha 90.00
_cell_angle_beta 90.00
_cell_angle_gamma 90.00
_space_group_name_H-M_alt 'P 1'
_space_group_IT_number 1
loop_
_space_group_symop_operation_xyz
'x,y,z'
loop_
_atom_site_label
_atom_site_type_symbol
_atom_site_fract_x
_atom_site_fract_y
_atom_site_fract_z
Y1 Y 0.5000 0.5000 0.5000
Sc1 Sc 0.0000 0.5000 0.0000
Au1 Au 0.0000 0.0000 0.5000
Au2 Au 0.5000 0.0000 0.0000
W1 W 0.0000 0.0000 0.0000
```

Calculated values
calculated formation energy	495	meV per atom
N(E_F)	6.167	states/eV/cell
total energy	-29.83	eV for the cell shown


Compound: NaSn3Pt
Source: Alexandria
Functional: PBE
Structure: optimized geometry

Cell and atoms, written as CIF:
```
data_NaSn3Pt
_cell_length_a 5.2052
_cell_length_b 5.2052
_cell_length_c 5.2052
_cell_angle_alpha 90.00
_cell_angle_beta 90.00
_cell_angle_gamma 90.00
_space_group_name_H-M_alt 'P 1'
_space_group_IT_number 1
loop_
_space_group_symop_operation_xyz
'x,y,z'
loop_
_atom_site_label
_atom_site_type_symbol
_atom_site_fract_x
_atom_site_fract_y
_atom_site_fract_z
Na1 Na 0.0000 0.0000 0.0000
Sn1 Sn 0.0000 0.5000 0.0000
Sn2 Sn 0.0000 0.0000 0.5000
Sn3 Sn 0.5000 0.0000 0.0000
Pt1 Pt 0.5000 0.5000 0.5000
```

Calculated values
offset from the most stable computed form	1298	meV per atom
calculated formation energy	977	meV per atom
N(E_F)	3.064	states/eV/cell
total energy	-14.48	eV for the cell shown


- The lowest total energy belongs to which entry?
  Ce3ZnCo2


- What is the total energy in the fifth record?
  -52.47 eV for the cell shown


- What is the N(E_F) in the second record?
  19.803 states/eV/cell